A plane-wave DFT calculation with PBE was carried out for a relaxed structure of CdSbCl3.

The raw formation energy is -0.295 eV/atom.

Lattice parameters (Å, degrees): 5.222 5.222 5.222 90.00 90.00 90.00
Space group Pm-3m (No. 221)
Asymmetric unit:
Cd 0.000 0.000 0.000 (multiplicity 1)
Sb 0.500 0.500 0.500 (multiplicity 1)
Cl 0.000 0.000 0.500 (multiplicity 3)

A plane-wave DFT calculation with PBE was carried out for a relaxed structure of AlVOs2.

The calculated formation energy is -468 meV/atom.

Lattice parameters (Å, degrees): 3.016 3.016 6.039 90.00 90.00 90.00
Space group P4/mmm (No. 123)
Asymmetric unit:
Al 0.000 0.000 0.000 (multiplicity 1)
V 0.000 0.000 0.500 (multiplicity 1)
Os 0.500 0.500 0.254 (multiplicity 2)

A plane-wave DFT calculation with PBE was carried out for a relaxed structure of TmAgPtAu.

The calculated formation energy is -680 meV/atom.

Lattice parameters (Å, degrees): 6.760 6.760 6.760 90.00 90.00 90.00
Space group F-43m (No. 216)
Asymmetric unit:
Tm 0.000 0.000 0.000 (multiplicity 4)
Ag 0.000 0.000 0.500 (multiplicity 4)
Pt 0.250 0.250 0.250 (multiplicity 4)
Au 0.250 0.250 0.750 (multiplicity 4)

A plane-wave DFT calculation with PBE was carried out for a relaxed structure of LaInCoSn2.

The calculated formation energy is -331 meV/atom.

Lattice parameters (Å, degrees): 5.006 5.006 5.062 90.00 90.00 90.00
Space group P4/mmm (No. 123)
Asymmetric unit:
La 0.000 0.000 0.000 (multiplicity 1)
In 0.500 0.500 0.000 (multiplicity 1)
Co 0.000 0.000 0.500 (multiplicity 1)
Sn 0.000 0.500 0.500 (multiplicity 2)

A plane-wave DFT calculation with PBE was carried out for a relaxed structure of ErTiIrPt.

The calculated formation energy is -796 meV/atom.

Lattice parameters (Å, degrees): 6.588 6.588 6.588 90.00 90.00 90.00
Space group F-43m (No. 216)
Asymmetric unit:
Er 0.000 0.000 0.000 (multiplicity 4)
Ti 0.000 0.000 0.500 (multiplicity 4)
Ir 0.250 0.250 0.750 (multiplicity 4)
Pt 0.250 0.250 0.250 (multiplicity 4)

A plane-wave DFT calculation with PBE was carried out for a relaxed structure of Ce4CoPb2.

The calculated formation energy is -349 meV/atom.

Lattice parameters (Å, degrees): 4.889 4.889 17.366 90.00 90.00 90.00
Space group I4/mmm (No. 139)
Asymmetric unit:
Ce 0.000 0.000 0.173 (multiplicity 4)
Ce 0.000 0.500 0.000 (multiplicity 4)
Co 0.000 0.000 0.000 (multiplicity 2)
Pb 0.000 0.000 0.361 (multiplicity 4)

A plane-wave DFT calculation with PBE was carried out for a relaxed structure of BaGaAs2Br.

The raw formation energy is -0.553 eV/atom.

Lattice parameters (Å, degrees): 4.904 4.904 6.080 90.00 90.00 90.00
Space group P4/mmm (No. 123)
Asymmetric unit:
Ba 0.000 0.000 0.000 (multiplicity 1)
Ga 0.500 0.500 0.500 (multiplicity 1)
As 0.000 0.500 0.500 (multiplicity 2)
Br 0.500 0.500 0.000 (multiplicity 1)

A plane-wave DFT calculation with PBE was carried out for a relaxed structure of AlIrRh6.

The calculated formation energy is -254 meV/atom.

Lattice parameters (Å, degrees): 3.839 3.839 7.689 90.00 90.00 90.00
Space group P4/mmm (No. 123)
Asymmetric unit:
Al 0.000 0.000 0.000 (multiplicity 1)
Ir 0.000 0.000 0.500 (multiplicity 1)
Rh 0.000 0.500 0.253 (multiplicity 4)
Rh 0.500 0.500 0.000 (multiplicity 1)
Rh 0.500 0.500 0.500 (multiplicity 1)

A plane-wave DFT calculation with PBE was carried out for a relaxed structure of Ag2C.

The calculated formation energy is 1342 meV/atom.

Lattice parameters (Å, degrees): 3.244 3.244 4.305 90.00 90.00 90.00
Space group P4/mmm (No. 123)
Asymmetric unit:
Ag 0.000 0.000 0.000 (multiplicity 1)
Ag 0.500 0.500 0.500 (multiplicity 1)
C 0.000 0.000 0.500 (multiplicity 1)

A plane-wave DFT calculation with PBE was carried out for a relaxed structure of BiBr3.

The raw formation energy is -0.745 eV/atom.

Lattice parameters (Å, degrees): 7.489 12.786 7.382 90.00 108.06 90.00
Space group P2_1/c (No. 14)
Asymmetric unit:
Bi 0.003 0.166 0.006 (multiplicity 4)
Br 0.230 0.678 0.244 (multiplicity 4)
Br 0.238 0.502 0.713 (multiplicity 4)
Br 0.239 0.181 0.762 (multiplicity 4)

A plane-wave DFT calculation with PBE was carried out for a relaxed structure of Ho4ZrSc3.

The calculated formation energy is 32 meV/atom.

Lattice parameters (Å, degrees): 10.688 6.940 5.934 90.00 90.00 90.00
Space group Pmn2_1 (No. 31)
Asymmetric unit:
Ho 0.000 0.136 0.000 (multiplicity 2)
Ho 0.000 0.862 0.500 (multiplicity 2)
Ho 0.247 0.865 0.850 (multiplicity 4)
Zr 0.000 0.615 0.013 (multiplicity 2)
Sc 0.000 0.390 0.513 (multiplicity 2)
Sc 0.249 0.385 0.836 (multiplicity 4)

A plane-wave DFT calculation with PBE was carried out for a relaxed structure of Li3Pm.

The calculated formation energy is 207 meV/atom.

Lattice parameters (Å, degrees): 7.300 7.300 7.300 90.00 90.00 90.00
Space group Fm-3m (No. 225)
Asymmetric unit:
Li 0.000 0.000 0.000 (multiplicity 4)
Li 0.250 0.250 0.250 (multiplicity 8)
Pm 0.000 0.000 0.500 (multiplicity 4)

Table of magnetic moment (μB/atom), in record order: 0.400 0.000 0.000 0.000 0.000 0.319 0.000 0.000 0.000 0.000 0.000 0.000